[1]
NdThBiAs: optimized geometry, GGA-PBE.

POSCAR file:
```
NdThBiAs
1.0
4.363 0.000 0.000
-2.181 3.778 0.000
-2.180 -1.259 7.560
Nd Th Bi As
1 1 1 1
Direct
0.949 0.373 0.337 Nd
0.325 0.560 0.900 Th
0.473 0.134 0.622 Bi
0.132 0.964 0.111 As
```

Uncorrected energy = -6.2286 eV/atom
Magnetic moment = 0.00 μB/f.u.
N(E_F) = 0.7648 states/eV per atom

[2]
PrPu2O: optimized geometry, GGA-PBE.

POSCAR file:
```
PrPu2O
1.0
-1.086 -1.489 3.551
2.780 -0.829 2.756
0.014 5.336 4.496
Pr O Pu
1 1 2
Direct
0.500 0.500 0.500 Pr
0.000 0.000 0.000 O
0.312 0.312 0.065 Pu
0.688 0.688 0.935 Pu
```

Uncorrected energy = -9.9405 eV/atom
Magnetic moment = 0.00 μB/f.u.
N(E_F) = 1.2553 states/eV per atom
Uncorrected formation energy = -1.36 eV per formula unit

[3]
Cr6Re5Mo: optimized geometry, GGA-PBE.

POSCAR file:
```
Cr6Re5Mo
1.0
0.168 -5.001 7.966
3.409 -2.561 0.657
3.855 2.117 2.416
Cr Mo Re
6 1 5
Direct
0.749 0.751 0.000 Cr
0.750 0.083 0.334 Cr
0.250 0.583 0.334 Cr
0.250 0.917 0.666 Cr
0.750 0.417 0.666 Cr
0.251 0.249 0.000 Cr
0.000 0.000 0.000 Mo
0.500 0.167 0.666 Re
0.000 0.667 0.667 Re
0.000 0.333 0.333 Re
0.500 0.500 0.000 Re
0.500 0.833 0.334 Re
```

Uncorrected energy = -10.8000 eV/atom
Magnetic moment = 0.00 μB/f.u.
N(E_F) = 1.1971 states/eV per atom